No. 1
A plane-wave DFT calculation with PBE was carried out for an optimized crystal structure of Ag3PdBr6Cl2.

Mass density ... 4.96 g/cm³
SG ... C2/m
Total DFT energy (no corrections) ... -2.561 eV per atom

```
Ag3PdBr6Cl2
1.0
6.818 -3.926 0.000
6.818 3.926 0.000
-0.683 0.000 6.129
Ag Pd Br Cl
3 1 6 2
direct
0.000 0.000 0.000
0.000 0.500 0.500
0.500 0.000 0.500
0.500 0.500 0.500
0.180 0.646 0.266
0.354 0.820 0.734
0.361 0.361 0.733
0.639 0.639 0.267
0.646 0.180 0.266
0.820 0.354 0.734
0.164 0.164 0.201
0.836 0.836 0.799
```


No. 2
A plane-wave DFT calculation with PBE was carried out for an optimized crystal structure of Er2InFe.

Mass density ... 7.86 g/cm³
SG ... R-3m
Total DFT energy (no corrections) ... -4.873 eV per atom
DFT formation energy ... 0.21 eV/atom

```
Er2InFe
1.0
1.755 1.013 10.003
-1.755 1.013 10.003
0.000 -2.027 10.003
Er In Fe
2 1 1
direct
0.108 0.108 0.108
0.892 0.892 0.892
0.000 0.000 0.000
0.500 0.500 0.500
```